DFT (GGA-PBE) results for crystalline U2NiPd2Pt5 at its relaxed geometry.

energy of formation from the pure elements: -0.4520 eV/atom
DOS(E_F): 1.358 states/eV per atom

Unit cell a=9.5852 b=9.5852 c=3.8825 alpha=90.00 beta=90.00 gamma=90.00
Closest atoms and distances in Å follow each position.
Fractional positions:
U1 0.1712 0.3288 0.0000  1 Pd 2.55, 4 Pt 2.85
U2 0.3288 0.8288 0.0000  1 Pd 2.55, 4 Pt 2.85
U3 0.6712 0.1712 0.0000  1 Pd 2.55, 4 Pt 2.85
U4 0.8288 0.6712 0.0000  1 Pd 2.55, 4 Pt 2.85
Ni1 0.0000 0.0000 0.0000  8 Pt 2.75
Ni2 0.5000 0.5000 0.0000  8 Pt 2.75
Pd1 0.1410 0.6410 0.0000  1 U 2.55, 6 Pt 2.72-2.77
Pd2 0.3590 0.1410 0.0000  1 U 2.55, 6 Pt 2.72-2.77
Pd3 0.6410 0.8590 0.0000  1 U 2.55, 6 Pt 2.72-2.77
Pd4 0.8590 0.3590 0.0000  1 U 2.55, 6 Pt 2.72-2.77
Pt1 0.0000 0.5000 0.5000  4 Pd 2.72, 4 Pt 2.84, 4 U 3.03
Pt2 0.0060 0.7967 0.5000  2 Ni 2.75, 3 Pt 2.76-2.84, 2 Pd 2.77, 2 U 2.85
Pt3 0.2033 0.0060 0.5000  2 Ni 2.75, 3 Pt 2.76-2.84, 2 Pd 2.77, 2 U 2.85
Pt4 0.2967 0.5060 0.5000  2 Ni 2.75, 3 Pt 2.76-2.84, 2 Pd 2.77, 2 U 2.85
Pt5 0.4940 0.2967 0.5000  2 Ni 2.75, 3 Pt 2.76-2.84, 2 Pd 2.77, 2 U 2.85
Pt6 0.5000 0.0000 0.5000  4 Pd 2.72, 4 Pt 2.84, 4 U 3.03
Pt7 0.5060 0.7033 0.5000  2 Ni 2.75, 3 Pt 2.76-2.84, 2 Pd 2.77, 2 U 2.85
Pt8 0.7033 0.4940 0.5000  2 Ni 2.75, 3 Pt 2.76-2.84, 2 Pd 2.77, 2 U 2.85
Pt9 0.7967 0.9940 0.5000  2 Ni 2.75, 3 Pt 2.76-2.84, 2 Pd 2.77, 2 U 2.85
Pt10 0.9940 0.2033 0.5000  2 Ni 2.75, 3 Pt 2.76-2.84, 2 Pd 2.77, 2 U 2.85

DFT (GGA-PBE) results for crystalline VNiPdPt at its relaxed geometry.

ΔE to the lowest computed polymorph: 0.00 eV per formula unit
energy of formation from the pure elements: -0.2610 eV/atom
DOS(E_F): 1.181 states/eV per atom

Unit cell a=2.7027 b=2.7027 c=7.5550 alpha=90.00 beta=90.00 gamma=90.00
Closest atoms and distances in Å follow each position.
Fractional positions:
V1 0.0000 0.0000 0.0000  4 Ni 2.52, 4 Pt 2.69, 4 V 2.70
Ni1 0.5000 0.5000 0.2173  4 V 2.52, 4 Pd 2.68, 4 Ni 2.70
Pd1 0.0000 0.0000 0.4653  4 Ni 2.68, 4 Pd 2.70, 4 Pt 2.88
Pt1 0.5000 0.5000 0.7498  4 V 2.69, 4 Pt 2.70, 4 Pd 2.88

DFT (GGA-PBE) results for crystalline VNiPd2Pt at its relaxed geometry.

energy of formation from the pure elements: 0.0423 eV/atom
DOS(E_F): 0.517 states/eV per atom

Unit cell a=6.1193 b=6.1193 c=6.1193 alpha=144.62 beta=144.62 gamma=50.90
Closest atoms and distances in Å follow each position.
Fractional positions:
V1 0.0000 0.0000 0.0000  1 Ni 2.07
Ni1 0.8130 0.8130 0.0000  1 V 2.07
Pd1 0.1538 0.6538 0.5000  2 V 2.52, 2 Ni 2.56, 4 Pd 2.63
Pd2 0.6538 0.1538 0.5000  2 V 2.52, 2 Ni 2.56, 4 Pd 2.63
Pt1 0.4278 0.4278 0.0000  4 V 2.75, 4 Ni 2.92

DFT (GGA-PBE) results for crystalline VNiPdPt at its relaxed geometry.

ΔE to the lowest computed polymorph: 0.24 eV per formula unit
energy of formation from the pure elements: -0.2009 eV/atom
DOS(E_F): 1.050 states/eV per atom

Unit cell a=4.2866 b=4.2866 c=4.2866 alpha=60.00 beta=60.00 gamma=60.00
Closest atoms and distances in Å follow each position.
Fractional positions:
V1 0.0000 0.0000 0.0000  4 Pd 2.62, 4 Pt 2.62
Ni1 0.5000 0.5000 0.5000  4 Pd 2.62, 4 Pt 2.62
Pd1 0.7500 0.7500 0.7500  4 Ni 2.62, 4 V 2.62
Pt1 0.2500 0.2500 0.2500  4 Ni 2.62, 4 V 2.62

DFT (GGA-PBE) results for crystalline VNiPd2Pt2 at its relaxed geometry.

energy of formation from the pure elements: -0.0721 eV/atom
DOS(E_F): 1.014 states/eV per atom

Unit cell a=5.2319 b=5.3679 c=6.4489 alpha=90.00 beta=98.43 gamma=90.00
Closest atoms and distances in Å follow each position.
Fractional positions:
V1 0.2177 0.2500 0.1630  3 Ni 2.45-2.72, 2 Pt 2.47-2.60, 2 Pd 2.61
V2 0.7823 0.7500 0.8370  3 Ni 2.45-2.72, 2 Pt 2.47-2.60, 2 Pd 2.61
Ni1 0.1401 0.7500 0.1290  3 V 2.45-2.72, 4 Pd 2.58-2.74, 2 Pt 2.66-2.72
Ni2 0.8599 0.2500 0.8710  3 V 2.45-2.72, 4 Pd 2.58-2.74, 2 Pt 2.66-2.72
Pd1 0.3073 0.0002 0.8343  2 Ni 2.58-2.74, 2 V 2.61-2.82, 3 Pd 2.68-2.72, 3 Pt 2.80-2.86
Pd2 0.3073 0.4998 0.8343  2 Ni 2.58-2.74, 2 V 2.61-2.82, 3 Pd 2.68-2.72, 3 Pt 2.80-2.86
Pd3 0.6927 0.9998 0.1657  2 Ni 2.58-2.74, 2 V 2.61-2.82, 3 Pd 2.68-2.72, 3 Pt 2.80-2.86
Pd4 0.6927 0.5002 0.1657  2 Ni 2.58-2.74, 2 V 2.61-2.82, 3 Pd 2.68-2.72, 3 Pt 2.80-2.86
Pt1 0.0155 0.2500 0.4860  1 V 2.47, 4 Pt 2.62-2.70, 1 Ni 2.72
Pt2 0.4770 0.7500 0.4805  1 V 2.60, 4 Pt 2.62-2.70, 1 Ni 2.66, 4 Pd 2.80-2.90
Pt3 0.5230 0.2500 0.5195  1 V 2.60, 4 Pt 2.62-2.70, 1 Ni 2.66, 4 Pd 2.80-2.90
Pt4 0.9845 0.7500 0.5140  1 V 2.47, 4 Pt 2.62-2.70, 1 Ni 2.72

DFT (GGA-PBE) results for crystalline NiPd2PtW at its relaxed geometry.

energy of formation from the pure elements: 1.4031 eV/atom
DOS(E_F): 0.763 states/eV per atom

Unit cell a=4.7369 b=4.7369 c=4.4412 alpha=90.00 beta=90.00 gamma=90.00
Closest atoms and distances in Å follow each position.
Fractional positions:
Ni1 0.0000 0.0000 0.0000  2 W 2.22
Pd1 0.0000 0.5000 0.5000  2 W 2.37
Pd2 0.5000 0.0000 0.5000  2 W 2.37
Pt1 0.5000 0.5000 0.0000  8 Pd 3.25, 4 Ni 3.35
W1 0.0000 0.0000 0.5000  2 Ni 2.22, 4 Pd 2.37

DFT (GGA-PBE) results for crystalline Ni2PdPt4W at its relaxed geometry.

energy of formation from the pure elements: 0.1566 eV/atom
DOS(E_F): 1.089 states/eV per atom

Unit cell a=3.8114 b=3.8114 c=9.1167 alpha=90.00 beta=90.00 gamma=90.00
Closest atoms and distances in Å follow each position.
Fractional positions:
Ni1 0.0000 0.0000 0.1184  1 Ni 2.16
Ni2 0.0000 0.0000 0.8816  1 Ni 2.16
Pd1 0.5000 0.5000 0.0000  8 Ni 2.90
Pt1 0.0000 0.5000 0.3032  2 Ni 2.54, 2 W 2.62, 4 Pt 2.70
Pt2 0.0000 0.5000 0.6968  2 Ni 2.54, 2 W 2.62, 4 Pt 2.70
Pt3 0.5000 0.0000 0.3032  2 Ni 2.54, 2 W 2.62, 4 Pt 2.70
Pt4 0.5000 0.0000 0.6968  2 Ni 2.54, 2 W 2.62, 4 Pt 2.70
W1 0.5000 0.5000 0.5000  8 Pt 2.62

DFT (GGA-PBE) results for crystalline NiPd3PtW at its relaxed geometry.

energy of formation from the pure elements: -0.0785 eV/atom
DOS(E_F): 1.207 states/eV per atom

Unit cell a=7.2480 b=7.2480 c=9.0029 alpha=90.00 beta=90.00 gamma=157.97
Closest atoms and distances in Å follow each position.
Fractional positions:
Ni1 0.2233 0.7767 0.7500  8 Pd 2.69-2.77, 2 Pt 2.70, 2 Ni 2.77
Ni2 0.7767 0.2233 0.2500  8 Pd 2.69-2.77, 2 Pt 2.70, 2 Ni 2.77
Pd1 0.1144 0.8856 0.2500  2 Ni 2.69, 6 Pd 2.77, 2 W 2.78, 2 Pt 2.84
Pd2 0.3334 0.6666 0.0035  1 Pt 2.69, 3 Ni 2.74-2.77, 2 W 2.75, 6 Pd 2.75-2.77
Pd3 0.3334 0.6666 0.4965  1 Pt 2.69, 3 Ni 2.74-2.77, 2 W 2.75, 6 Pd 2.75-2.77
Pd4 0.6666 0.3334 0.5035  1 Pt 2.69, 3 Ni 2.74-2.77, 2 W 2.75, 6 Pd 2.75-2.77
Pd5 0.6666 0.3334 0.9965  1 Pt 2.69, 3 Ni 2.74-2.77, 2 W 2.75, 6 Pd 2.75-2.77
Pd6 0.8856 0.1144 0.7500  2 Ni 2.69, 6 Pd 2.77, 2 W 2.78, 2 Pt 2.84
Pt1 0.4399 0.5601 0.2500  4 Pd 2.69-2.84, 2 Ni 2.70, 2 Pt 2.77, 4 W 2.78
Pt2 0.5601 0.4399 0.7500  4 Pd 2.69-2.84, 2 Ni 2.70, 2 Pt 2.77, 4 W 2.78
W1 0.0000 0.0000 0.0000  6 Pd 2.75-2.78, 2 W 2.77, 4 Pt 2.78
W2 0.0000 0.0000 0.5000  6 Pd 2.75-2.78, 2 W 2.77, 4 Pt 2.78

DFT (GGA-PBE) results for crystalline Zr2Ni2PdPt2 at its relaxed geometry.

energy of formation from the pure elements: -0.6291 eV/atom
DOS(E_F): 0.976 states/eV per atom

Unit cell a=4.7715 b=4.7715 c=7.1423 alpha=117.25 beta=117.25 gamma=55.62
Closest atoms and distances in Å follow each position.
Fractional positions:
Zr1 0.2385 0.2385 0.3023  3 Ni 2.64-2.90, 4 Pt 2.71-2.89, 2 Pd 2.93
Zr2 0.7615 0.7615 0.6977  3 Ni 2.64-2.90, 4 Pt 2.71-2.89, 2 Pd 2.93
Ni1 0.1959 0.1959 0.9088  2 Ni 2.50, 1 Pd 2.50, 3 Pt 2.55-2.76, 1 Zr 2.64
Ni2 0.8041 0.8041 0.0912  2 Ni 2.50, 1 Pd 2.50, 3 Pt 2.55-2.76, 1 Zr 2.64
Pd1 0.0000 0.0000 0.5000  2 Ni 2.50
Pt1 0.4692 0.4692 0.7732  3 Ni 2.55-2.76, 3 Zr 2.71-2.78
Pt2 0.5308 0.5308 0.2268  3 Ni 2.55-2.76, 3 Zr 2.71-2.78

DFT (GGA-PBE) results for crystalline Pu2NiPd at its relaxed geometry.

energy of formation from the pure elements: -0.2069 eV/atom
DOS(E_F): 4.314 states/eV per atom

Unit cell a=3.4219 b=3.4219 c=6.9491 alpha=90.00 beta=90.00 gamma=90.00
Closest atoms and distances in Å follow each position.
Fractional positions:
Pu1 0.0000 0.0000 0.2340  4 Ni 2.92, 4 Pd 3.04, 1 Pu 3.25
Pu2 0.0000 0.0000 0.7660  4 Ni 2.92, 4 Pd 3.04, 1 Pu 3.25
Ni1 0.5000 0.5000 0.0000  8 Pu 2.92
Pd1 0.5000 0.5000 0.5000  8 Pu 3.04

DFT (GGA-PBE) results for crystalline PuNiPd at its relaxed geometry.

ΔE to the lowest computed polymorph: 0.77 eV per formula unit
energy of formation from the pure elements: -0.1351 eV/atom
DOS(E_F): 3.204 states/eV per atom

Unit cell a=5.3753 b=5.3753 c=5.3753 alpha=144.15 beta=144.15 gamma=51.60
Closest atoms and distances in Å follow each position.
Fractional positions:
Pu1 0.0000 0.0000 0.0000  5 Ni 2.87-3.18, 5 Pd 2.94-3.01
Ni1 0.3283 0.3283 0.0000  4 Pd 2.67, 4 Pu 2.87
Pd1 0.6958 0.6958 0.0000  4 Ni 2.67, 1 Pu 2.94

DFT (GGA-PBE) results for crystalline Pu2Ni2Pd at its relaxed geometry.

energy of formation from the pure elements: -0.2558 eV/atom
DOS(E_F): 3.710 states/eV per atom

Unit cell a=6.8628 b=6.8628 c=3.6380 alpha=90.00 beta=90.00 gamma=146.85
Closest atoms and distances in Å follow each position.
Fractional positions:
Pu1 0.1246 0.8754 0.0000  6 Ni 2.84-2.96, 4 Pd 3.13
Pu2 0.8754 0.1246 0.0000  6 Ni 2.84-2.96, 4 Pd 3.13
Ni1 0.3018 0.6982 0.5000  2 Ni 2.39, 1 Pd 2.61
Ni2 0.6982 0.3018 0.5000  2 Ni 2.39, 1 Pd 2.61
Pd1 0.5000 0.5000 0.5000  2 Ni 2.61

- What is the energy of formation from the pure elements in the first record?
  -0.4520 eV/atom